# CoHgPO2 PBE with a Hubbard U relaxed
# Space-group type   P4/mmm (123)
# E_tot   -3.1787 eV per atom
data_CoHgPO2
_space_group_name_H-M_alt 'P 1'
_space_group_IT_number 1
_cell_length_a 4.0648
_cell_length_b 4.0648
_cell_length_c 5.3088
_cell_angle_alpha 90.00
_cell_angle_beta 90.00
_cell_angle_gamma 90.00
loop_
_space_group_symop_operation_xyz
'x,y,z'
loop_
_atom_site_label
_atom_site_type_symbol
_atom_site_fract_x
_atom_site_fract_y
_atom_site_fract_z
Co1 Co 0.0000 0.0000 0.0000
Hg1 Hg 0.5000 0.5000 0.5000
P1 P 0.5000 0.5000 0.0000
O1 O 0.0000 0.5000 0.5000
O2 O 0.5000 0.0000 0.5000